*i*
Entry from Alexandria via LeMat-Bulk: a PBEsol-optimized structure of MgAg2O4 (SCAN).

Magnetic moment (Bohr magnetons per cell): 0.000
Space-group type: Imma

```
14
Lattice="-3.2936 3.3192 3.6352 3.2936 -3.3192 3.6352 3.2936 3.3192 -3.6352" Properties=species:S:1:pos:R:3 pbc="T T T"
Mg 0.0000 0.0000 0.0000
Mg 0.0000 3.3192 0.0000
Ag 1.6468 1.6596 -1.8176
Ag 1.6468 -1.6596 1.8176
Ag 3.2936 1.6596 1.1072
Ag 0.0000 1.6596 2.5280
O 3.2936 -0.3500 1.6041
O 3.2936 2.9692 -1.6041
O 1.2976 1.6596 0.2214
O 1.9960 -1.6596 3.8566
O 1.2976 4.9789 -0.2214
O 1.9960 1.6596 3.4139
O 0.0000 0.3500 5.2393
O 0.0000 3.6693 2.0311
```

*ii*
Entry from Alexandria via LeMat-Bulk: a PBEsol-optimized structure of MgAg2O4 (SCAN).

Magnetic moment (Bohr magnetons per cell): 0.000
Space-group type: Pbcm

```
28
Lattice="3.1197 0.0000 0.0000 0.0000 10.6519 0.0000 0.0000 0.0000 9.6246" Properties=species:S:1:pos:R:3 pbc="T T T"
Mg 0.4155 1.5619 2.4061
Mg 0.4155 3.7640 7.2184
Mg 2.7042 6.8879 2.4061
Mg 2.7042 9.0900 7.2184
Ag 1.0731 6.5541 5.5009
Ag 1.0731 6.5541 8.9359
Ag 1.0731 9.4237 0.6887
Ag 1.0731 9.4237 4.1236
Ag 2.0465 1.2282 5.5009
Ag 2.0465 1.2282 8.9359
Ag 2.0465 4.0977 0.6887
Ag 2.0465 4.0977 4.1236
O 0.0694 2.6630 0.0000
O 0.0694 2.6630 4.8123
O 1.1300 5.8495 1.1908
O 1.1300 5.8495 3.6214
O 1.1306 7.5925 7.2184
O 1.1306 8.3854 2.4061
O 1.1300 10.1284 6.0031
O 1.1300 10.1284 8.4337
O 1.9897 0.5235 1.1908
O 1.9897 0.5235 3.6214
O 1.9891 2.2665 7.2184
O 1.9891 3.0594 2.4061
O 1.9897 4.8024 6.0031
O 1.9897 4.8024 8.4337
O 3.0502 7.9889 0.0000
O 3.0502 7.9889 4.8123
```

*iii*
Entry from Alexandria via LeMat-Bulk: a PBEsol-optimized structure of MgAg2O4 (SCAN).

Magnetic moment (Bohr magnetons per cell): 0.000
Space-group type: I4_1/amd

```
14
Lattice="-2.9106 2.9106 5.5136 2.9106 -2.9106 5.5136 2.9106 2.9106 -5.5136" Properties=species:S:1:pos:R:3 pbc="T T T"
Mg 2.9106 1.4553 1.3784
Mg 0.0000 1.4553 4.1352
Ag 0.0000 0.0000 0.0000
Ag 1.4553 1.4553 -2.7568
Ag 1.4553 -1.4553 2.7568
Ag 0.0000 2.9106 0.0000
O 2.9106 -0.1051 2.6063
O 2.9106 2.8055 -2.6063
O 1.3502 1.4553 0.1505
O 1.5604 -1.4553 5.6642
O 1.3502 4.3659 -0.1505
O 1.5604 1.4553 5.3631
O 0.0000 0.1051 8.1199
O 0.0000 3.0157 2.9074
```

Most stable pick: *ii*. Distance to second place: 0.034 eV/atom.

*i*
Entry from Alexandria via LeMat-Bulk: a PBEsol-optimized structure of MgAg2P (SCAN).

Magnetic moment (Bohr magnetons per cell): 0.000
Space-group type: F-43m

```
4
Lattice="0.0000 3.2396 3.2396 3.2396 0.0000 3.2396 3.2396 3.2396 0.0000" Properties=species:S:1:pos:R:3 pbc="T T T"
Mg 0.0000 0.0000 0.0000
Ag 1.6198 1.6198 1.6198
Ag 3.2396 3.2396 3.2396
P 4.8595 4.8595 4.8595
```

*ii*
Entry from Alexandria via LeMat-Bulk: a PBEsol-optimized structure of MgAg2P (SCAN).

Magnetic moment (Bohr magnetons per cell): 0.000
Space-group type: Fm-3m

```
4
Lattice="0.0000 3.2353 3.2353 3.2353 0.0000 3.2353 3.2353 3.2353 0.0000" Properties=species:S:1:pos:R:3 pbc="T T T"
Mg 0.0000 0.0000 0.0000
Ag 1.6176 1.6176 1.6176
Ag 4.8529 4.8529 4.8529
P 3.2353 3.2353 3.2353
```

Most stable pick: *i*. Distance to second place: 0.087 eV/atom.

*i*
Entry from Alexandria via LeMat-Bulk: a PBEsol-optimized structure of MgAgSb (SCAN).

Magnetic moment (Bohr magnetons per cell): 0.000
Space-group type: P4/nmm

```
6
Lattice="4.3912 0.0000 0.0000 0.0000 4.3912 0.0000 0.0000 0.0000 6.7587" Properties=species:S:1:pos:R:3 pbc="T T T"
Mg 1.0978 1.0978 1.3831
Mg 3.2934 3.2934 5.3756
Ag 1.0978 3.2934 3.3793
Ag 3.2934 1.0978 3.3793
Sb 1.0978 1.0978 5.2664
Sb 3.2934 3.2934 1.4923
```

*ii*
Entry from Alexandria via LeMat-Bulk: a PBEsol-optimized structure of MgAgSb (SCAN).

Magnetic moment (Bohr magnetons per cell): 0.000
Space-group type: F-43m

```
3
Lattice="0.0000 3.2369 3.2369 3.2369 0.0000 3.2369 3.2369 3.2369 0.0000" Properties=species:S:1:pos:R:3 pbc="T T T"
Mg 0.0000 0.0000 0.0000
Ag 4.8553 4.8553 4.8553
Sb 3.2369 3.2369 3.2369
```

Most stable pick: *ii*. Distance to second place: 0.075 eV/atom.

*i*
Entry from Alexandria via LeMat-Bulk: a PBEsol-optimized structure of MgTaAg (SCAN).

Magnetic moment (Bohr magnetons per cell): 0.000
Space-group type: F-43m

```
3
Lattice="0.0000 3.1066 3.1066 3.1066 0.0000 3.1066 3.1066 3.1066 0.0000" Properties=species:S:1:pos:R:3 pbc="T T T"
Mg 0.0000 0.0000 0.0000
Ta 3.1066 3.1066 3.1066
Ag 4.6599 4.6599 4.6599
```

*ii*
Entry from Alexandria via LeMat-Bulk: a PBEsol-optimized structure of MgTaAg (SCAN).

Magnetic moment (Bohr magnetons per cell): 0.000
Space-group type: F-43m

```
3
Lattice="0.0000 3.1624 3.1624 3.1624 0.0000 3.1624 3.1624 3.1624 0.0000" Properties=species:S:1:pos:R:3 pbc="T T T"
Mg 0.0000 0.0000 0.0000
Ta 1.5812 1.5812 1.5812
Ag 3.1624 3.1624 3.1624
```

Most stable pick: *i*. Distance to second place: 0.501 eV/atom.